A relaxed structure of Ba3Sr2Mg2Tl4, computed with PBE.

Summary:
crystal system	trigonal
VASP energy	-2.2067	eV/atom
DOS at the Fermi energy	11.5	states/eV per cell

```
data_Ba3Sr2Mg2Tl4
_space_group_name_H-M_alt 'P -3 m 1'
_space_group_IT_number 164
_space_group_name_Hall '-P 3 2"'
_cell_length_a 5.5606
_cell_length_b 5.5606
_cell_length_c 15.9697
_cell_angle_alpha 90.00
_cell_angle_beta 90.00
_cell_angle_gamma 120.00
loop_
_atom_site_label
_atom_site_fract_x
_atom_site_fract_y
_atom_site_fract_z
Ba1 0.0000 0.0000 0.0000
Ba2 0.0000 0.0000 0.2545
Sr1 0.3333 0.6667 0.5735
Mg1 0.3333 0.6667 0.1443
Tl1 0.3333 0.6667 0.3473
Tl2 0.3333 0.6667 0.8706
```

---

A relaxed structure of Ba2SrMg2Tl2, computed with PBE.

Summary:
crystal system	trigonal
VASP energy	-2.1548	eV/atom
DOS at the Fermi energy	15.6	states/eV per cell

```
data_Ba2SrMg2Tl2
_space_group_name_H-M_alt 'R -3 m'
_space_group_IT_number 166
_space_group_name_Hall '-R 3 2"'
_cell_length_a 5.2151
_cell_length_b 5.2151
_cell_length_c 33.7758
_cell_angle_alpha 90.00
_cell_angle_beta 90.00
_cell_angle_gamma 120.00
loop_
_atom_site_label
_atom_site_fract_x
_atom_site_fract_y
_atom_site_fract_z
Ba1 0.0000 0.0000 0.1206
Sr1 0.0000 0.0000 0.0000
Mg1 0.0000 0.0000 0.3860
Tl1 0.0000 0.0000 0.2712
```

---

A relaxed structure of BaSr2Mg2Tl2, computed with PBE.

Summary:
crystal system	trigonal
VASP energy	-2.1177	eV/atom
DOS at the Fermi energy	14.3	states/eV per cell

```
data_BaSr2Mg2Tl2
_space_group_name_H-M_alt 'R -3 m'
_space_group_IT_number 166
_space_group_name_Hall '-R 3 2"'
_cell_length_a 5.2287
_cell_length_b 5.2287
_cell_length_c 32.5211
_cell_angle_alpha 90.00
_cell_angle_beta 90.00
_cell_angle_gamma 120.00
loop_
_atom_site_label
_atom_site_fract_x
_atom_site_fract_y
_atom_site_fract_z
Ba1 0.0000 0.0000 0.0000
Sr1 0.0000 0.0000 0.1275
Mg1 0.0000 0.0000 0.4045
Tl1 0.0000 0.0000 0.2555
```

---

A relaxed structure of Ba3Sr3MgTl2, computed with PBE.

Summary:
crystal system	hexagonal
VASP energy	-2.0912	eV/atom
DOS at the Fermi energy	14.3	states/eV per cell

```
data_Ba3Sr3MgTl2
_space_group_name_H-M_alt 'P -6 2 m'
_space_group_IT_number 189
_space_group_name_Hall 'P -6 -2'
_cell_length_a 9.0221
_cell_length_b 9.0221
_cell_length_c 5.7543
_cell_angle_alpha 90.00
_cell_angle_beta 90.00
_cell_angle_gamma 120.00
loop_
_atom_site_label
_atom_site_fract_x
_atom_site_fract_y
_atom_site_fract_z
Ba1 0.0000 0.5807 0.0000
Sr1 0.0000 0.2592 0.5000
Mg1 0.0000 0.0000 0.0000
Tl1 0.3333 0.6667 0.5000
```

---

A relaxed structure of BaSr2MgW, computed with PBE.

Summary:
crystal system	tetragonal
VASP energy	-2.8948	eV/atom
DOS at the Fermi energy	6.1	states/eV per cell

```
data_BaSr2MgW
_space_group_name_H-M_alt 'P 4/m m m'
_space_group_IT_number 123
_space_group_name_Hall '-P 4 2'
_cell_length_a 6.249
_cell_length_b 6.249
_cell_length_c 5.386
_cell_angle_alpha 90.00
_cell_angle_beta 90.00
_cell_angle_gamma 90.00
loop_
_atom_site_label
_atom_site_fract_x
_atom_site_fract_y
_atom_site_fract_z
Ba1 0.000 0.000 0.000
Sr1 0.000 0.500 0.500
Mg1 0.500 0.500 0.500
W1 0.500 0.500 0.000
```

---

A relaxed structure of BaSrMg2Zn, computed with PBE.

Summary:
crystal system	tetragonal
E above lowest polymorph	0.059	eV/atom
DOS at the Fermi energy	5.9	states/eV per cell

```
data_BaSrMg2Zn
_space_group_name_H-M_alt 'P 4/m m m'
_space_group_IT_number 123
_space_group_name_Hall '-P 4 2'
_cell_length_a 5.461
_cell_length_b 5.461
_cell_length_c 6.037
_cell_angle_alpha 90.00
_cell_angle_beta 90.00
_cell_angle_gamma 90.00
loop_
_atom_site_label
_atom_site_fract_x
_atom_site_fract_y
_atom_site_fract_z
Ba1 0.000 0.000 0.000
Sr1 0.500 0.500 0.000
Mg1 0.000 0.500 0.500
Zn1 0.000 0.000 0.500
```

---

A relaxed structure of Ba5Sr2MgZn2, computed with PBE.

Summary:
crystal system	tetragonal
VASP energy	-1.7714	eV/atom
DOS at the Fermi energy	30.6	states/eV per cell

```
data_Ba5Sr2MgZn2
_space_group_name_H-M_alt 'P 4/m b m'
_space_group_IT_number 127
_space_group_name_Hall '-P 4 2ab'
_cell_length_a 14.520
_cell_length_b 14.520
_cell_length_c 4.436
_cell_angle_alpha 90.00
_cell_angle_beta 90.00
_cell_angle_gamma 90.00
loop_
_atom_site_label
_atom_site_fract_x
_atom_site_fract_y
_atom_site_fract_z
Ba1 0.000 0.500 0.000
Ba2 0.049 0.206 0.000
Sr1 0.193 0.693 0.500
Mg1 0.000 0.000 0.500
Zn1 0.133 0.367 0.500
```

---

A relaxed structure of BaSr2MgZn, computed with PBE.

Summary:
crystal system	tetragonal
E above lowest polymorph	0.000	eV/atom
DOS at the Fermi energy	4.4	states/eV per cell

```
data_BaSr2MgZn
_space_group_name_H-M_alt 'P 4/m m m'
_space_group_IT_number 123
_space_group_name_Hall '-P 4 2'
_cell_length_a 6.226
_cell_length_b 6.226
_cell_length_c 5.435
_cell_angle_alpha 90.00
_cell_angle_beta 90.00
_cell_angle_gamma 90.00
loop_
_atom_site_label
_atom_site_fract_x
_atom_site_fract_y
_atom_site_fract_z
Ba1 0.000 0.000 0.000
Sr1 0.000 0.500 0.500
Mg1 0.500 0.500 0.000
Zn1 0.500 0.500 0.500
```